Entry 1:
LaHo5Th | the Alexandria database | PBE-GGA | relaxed; formation energy from the elements = 0.035 eV/atom
1.0
-8.367 5.842 4.594
-1.814 -3.833 -12.139
4.276 -3.523 6.784
Th Ho La
2 10 2
Cartesian
-2.046 1.160 5.689
0.000 0.000 0.000
-1.001 -2.326 -4.385
1.586 -2.949 1.205
0.661 -5.339 -3.084
-3.057 -1.212 1.338
-5.704 -0.640 -4.194
-7.492 1.435 -1.965
-6.567 3.825 2.323
-2.849 -0.302 -2.098
-4.905 0.812 3.625
-0.202 -0.874 3.433
-4.716 1.763 0.115
-1.190 -3.276 -0.875

Entry 2:
Ac5Pm2Sn5 | the Alexandria database | PBE-GGA | relaxed; formation energy from the elements = -0.543 eV/atom
1.0
-0.643 -3.300 3.306
6.058 4.851 2.659
-11.833 5.665 3.354
Ac Pm Sn
5 2 5
Cartesian
-6.238 1.182 3.330
-1.760 1.841 4.858
-4.658 5.375 4.460
1.001 -0.369 3.189
-7.419 7.585 6.129
-8.809 4.785 3.063
2.392 2.431 6.256
0.000 0.000 0.000
-3.636 3.074 2.361
1.163 3.191 3.412
-2.782 4.142 6.957
-7.580 4.025 5.907

Entry 3:
CsHoBSe4 | the Alexandria database | PBE-GGA | relaxed; energy relative to the elements, uncorrected = -1004 meV per atom
1.0
-5.199 -3.682 2.612
-0.760 -2.623 -5.211
8.028 -5.855 1.776
Se Ho B Cs
8 2 2 2
Cartesian
1.941 -3.176 -2.025
0.503 -7.687 3.777
3.226 -7.316 1.551
0.127 -8.984 1.201
0.253 -5.567 1.105
1.565 -4.473 -4.601
1.815 -6.592 -1.928
-1.157 -4.843 -2.375
-0.853 -7.390 -1.138
2.922 -4.770 0.314
0.847 -4.916 -2.631
1.222 -7.244 1.807
-1.204 -1.809 -0.574
3.273 -10.351 -0.249

Entry 4:
TlInMo2 | the Alexandria database | PBE-GGA | relaxed; formation energy from the elements = 0.674 eV/atom; energy above the lowest structure with this stoichiometry = 1.39 eV per formula unit
1.0
-2.043 1.895 0.901
-1.343 -2.453 -0.871
0.640 -3.424 8.653
Tl In Mo
1 1 2
Cartesian
-1.533 -1.135 2.178
-1.214 -2.847 6.504
0.637 -3.409 8.614
0.323 -1.728 4.365

Entry 5:
KOsBr | the Alexandria database | PBE-GGA | relaxed; energy relative to the elements, uncorrected = 1079 meV per atom; energy above the lowest structure with this stoichiometry = 0.43 eV per formula unit
1.0
-5.106 4.464 1.784
-6.389 1.577 2.424
0.499 0.476 3.149
Br Os K
1 1 1
Cartesian
0.092 0.665 3.185
-7.125 4.014 3.822
-3.463 2.315 3.499

Entry 6:
Er3Ga2Ru3C | the Alexandria database | PBE-GGA | relaxed; formation energy from the elements = -0.327 eV/atom
1.0
3.414 0.000 0.000
0.000 7.185 0.000
0.000 -3.592 6.222
Ru Ga C Er
3 2 1 3
Cartesian
1.707 0.804 1.392
1.707 5.578 0.000
1.707 -2.789 4.830
1.707 0.000 4.148
1.707 3.592 2.074
0.000 0.000 0.000
0.000 -1.315 2.278
0.000 2.630 0.000
0.000 2.277 3.944

Entry 7:
TmSnAs2Rh5 | the Alexandria database | PBE-GGA | relaxed; formation energy from the elements = -0.650 eV/atom
1.0
-2.447 2.230 -2.482
-3.335 -1.524 1.917
0.253 6.645 5.722
Rh Tm Sn As
5 1 1 2
Cartesian
-1.040 5.924 2.900
-1.153 2.951 0.340
-1.597 1.074 2.540
-2.764 3.676 2.579
-1.484 4.047 5.100
0.000 0.000 0.000
0.127 3.322 2.861
-2.673 6.061 4.633
-2.855 1.290 0.525

Entry 8:
Ti5VCo4 | the Alexandria database | PBE-GGA | relaxed; formation energy from the elements = -0.312 eV/atom
1.0
3.006 0.000 0.000
0.000 3.006 0.000
0.000 0.000 14.903
Ti V Co
5 1 4
Cartesian
1.503 1.503 7.451
1.503 1.503 10.356
1.503 1.503 13.296
1.503 1.503 4.546
1.503 1.503 1.606
0.000 0.000 0.000
0.000 0.000 11.750
0.000 0.000 3.152
0.000 0.000 6.006
0.000 0.000 8.896